! PBE AcNdThIn, optimized geometry; values from VASP
! - ΔE_f: 4 meV per atom
! - Total moment: 0.0 Bohr magnetons per cell
! - Calculated total energy: -19.0 eV per cell
! - SG: F-43m, No. 216
&SYSTEM
  ibrav = 0, nat = 4, ntyp = 4
/
ATOMIC_SPECIES
Ac 227.00 Ac.upf
Nd 144.24 Nd.upf
Th 232.04 Th.upf
In 114.82 In.upf
CELL_PARAMETERS angstrom
0.000 4.031 4.031
4.031 0.000 4.031
4.031 4.031 0.000
ATOMIC_POSITIONS crystal
Ac 0.000 0.000 0.000
Nd 0.750 0.750 0.750
Th 0.250 0.250 0.250
In 0.500 0.500 0.500